(1)
This record from Alexandria via LeMat-Bulk describes a relaxed TmHfFePd crystal. The functional is PBE.

```
data_TmHfFePd
_chemical_formula_sum 'Tm4 Hf4 Fe4 Pd4'
_cell_length_a 6.5957
_cell_length_b 6.5957
_cell_length_c 6.5957
_cell_angle_alpha 90.00
_cell_angle_beta 90.00
_cell_angle_gamma 90.00
_space_group_name_H-M_alt 'F -4 3 m'
_space_group_IT_number 216
_space_group_name_Hall 'F -4 2 3'
loop_
_atom_site_label
_atom_site_type_symbol
_atom_site_fract_x
_atom_site_fract_y
_atom_site_fract_z
Tm1 Tm 0.0000 0.0000 0.0000
Hf1 Hf 0.0000 0.0000 0.5000
Fe1 Fe 0.2500 0.2500 0.2500
Pd1 Pd 0.2500 0.2500 0.7500
```

***

(2)
This record from Alexandria via LeMat-Bulk describes a relaxed PmHf2Fe crystal. The functional is PBE.

```
data_PmHf2Fe
_chemical_formula_sum 'Pm1 Hf2 Fe1'
_cell_length_a 3.2344
_cell_length_b 3.2344
_cell_length_c 8.2069
_cell_angle_alpha 90.00
_cell_angle_beta 90.00
_cell_angle_gamma 90.00
_space_group_name_H-M_alt 'P 4/m m m'
_space_group_IT_number 123
_space_group_name_Hall '-P 4 2'
loop_
_atom_site_label
_atom_site_type_symbol
_atom_site_fract_x
_atom_site_fract_y
_atom_site_fract_z
Pm1 Pm 0.0000 0.0000 0.0000
Hf1 Hf 0.5000 0.5000 0.3192
Fe1 Fe 0.0000 0.0000 0.5000
```

***

(3)
This record from Alexandria via LeMat-Bulk describes a relaxed PmHfFe10 crystal. The functional is PBE.

```
data_PmHfFe10
_chemical_formula_sum 'Pm1 Hf1 Fe10'
_cell_length_a 3.9578
_cell_length_b 4.9449
_cell_length_c 8.5544
_cell_angle_alpha 90.00
_cell_angle_beta 90.00
_cell_angle_gamma 90.00
_space_group_name_H-M_alt 'P m m m'
_space_group_IT_number 47
loop_
_space_group_symop_operation_xyz
'x,y,z'
'-x,-y,-z'
'-x,-y,z'
'x,y,-z'
'x,-y,-z'
'-x,y,z'
'-x,y,-z'
'x,-y,z'
loop_
_atom_site_label
_atom_site_type_symbol
_atom_site_fract_x
_atom_site_fract_y
_atom_site_fract_z
Pm1 Pm 0.0000 0.0000 0.0000
Hf1 Hf 0.0000 0.5000 0.5000
Fe1 Fe 0.0000 0.0000 0.3412
Fe2 Fe 0.0000 0.5000 0.1765
Fe3 Fe 0.5000 0.0000 0.5000
Fe4 Fe 0.5000 0.2549 0.2597
Fe5 Fe 0.5000 0.5000 0.0000
```

***

(4)
This record from Alexandria via LeMat-Bulk describes a relaxed PmHfFe4 crystal. The functional is PBE.

```
data_PmHfFe4
_chemical_formula_sum 'Pm4 Hf4 Fe16'
_cell_length_a 7.1856
_cell_length_b 7.1856
_cell_length_c 7.1856
_cell_angle_alpha 90.00
_cell_angle_beta 90.00
_cell_angle_gamma 90.00
_space_group_name_H-M_alt 'F -4 3 m'
_space_group_IT_number 216
_space_group_name_Hall 'F -4 2 3'
loop_
_atom_site_label
_atom_site_type_symbol
_atom_site_fract_x
_atom_site_fract_y
_atom_site_fract_z
Pm1 Pm 0.0000 0.0000 0.0000
Hf1 Hf 0.2500 0.2500 0.2500
Fe1 Fe 0.1241 0.1241 0.6241
```

***

(5)
This record from Alexandria via LeMat-Bulk describes a relaxed PrHfFe4 crystal. The functional is PBE.

```
data_PrHfFe4
_chemical_formula_sum 'Pr4 Hf4 Fe16'
_cell_length_a 7.2230
_cell_length_b 7.2230
_cell_length_c 7.2230
_cell_angle_alpha 90.00
_cell_angle_beta 90.00
_cell_angle_gamma 90.00
_space_group_name_H-M_alt 'F -4 3 m'
_space_group_IT_number 216
_space_group_name_Hall 'F -4 2 3'
loop_
_atom_site_label
_atom_site_type_symbol
_atom_site_fract_x
_atom_site_fract_y
_atom_site_fract_z
Pr1 Pr 0.0000 0.0000 0.0000
Hf1 Hf 0.2500 0.2500 0.7500
Fe1 Fe 0.1239 0.1239 0.3761
```

***

(6)
This record from Alexandria via LeMat-Bulk describes a relaxed Hf5FePt crystal. The functional is PBE.

```
data_Hf5FePt
_chemical_formula_sum 'Hf20 Fe4 Pt4'
_cell_length_a 8.3288
_cell_length_b 6.5858
_cell_length_c 10.5470
_cell_angle_alpha 90.00
_cell_angle_beta 105.13
_cell_angle_gamma 90.00
_space_group_name_H-M_alt 'C 1 2/c 1'
_space_group_IT_number 15
loop_
_space_group_symop_operation_xyz
'x,y,z'
'-x,-y,-z'
'-x,y,-z+1/2'
'x,-y,z+1/2'
'x+1/2,y+1/2,z'
'-x+1/2,-y+1/2,-z'
'-x+1/2,y+1/2,-z+1/2'
'x+1/2,-y+1/2,z+1/2'
loop_
_atom_site_label
_atom_site_type_symbol
_atom_site_fract_x
_atom_site_fract_y
_atom_site_fract_z
Hf1 Hf 0.0000 0.0242 0.2500
Hf2 Hf 0.1240 0.3441 0.5614
Hf3 Hf 0.2458 0.3214 0.8716
Fe1 Fe 0.0000 0.0000 0.0000
Pt1 Pt 0.0000 0.4321 0.2500
```

***

| no. | ΔE_f (eV per atom) | M_tot (μB per atom) |
| --- | --- | --- |
| 1 | -0.38 | 0.000 |
| 2 | 0.01 | 0.105 |
| 3 | -0.03 | 1.616 |
| 4 | -0.08 | 1.089 |
| 5 | -0.02 | 1.121 |
| 6 | -0.18 | 0.000 |